# 1
A relaxed structure of TmCo. Source: OQMD, functional PBE.

## Properties
The calculation puts the formation energy at 108.2 kJ/mol of formula units.

a = 4.4748 Å, b = 4.4748 Å, c = 5.3635 Å
α = 90.00°, β = 90.00°, γ = 120.00°
Space group P6_3/mmc (No. 194)
Symmetry-distinct sites (fractional):
1 Tm 0.3333 0.6667 0.2500 x2
2 Co 0.3333 0.6667 0.7500 x2

# 2
A relaxed structure of RbHfTeAuSe2. Source: OQMD, functional PBE.

## Properties
Its raw total energy is -0.18186 hartree per atom.

a = 3.988 Å, b = 16.281 Å, c = 10.833 Å
α = 90.00°, β = 90.00°, γ = 90.00°
Space group Cmcm (No. 63)
Symmetry-distinct sites (fractional):
1 Rb 0.000 0.230 0.250 x4
2 Hf 0.000 0.000 0.000 x4
3 Te 0.000 0.079 0.750 x4
4 Au 0.000 0.459 0.750 x4
5 Se 0.000 0.387 0.538 x8

# 3
A relaxed structure of Co2Ni11. Source: OQMD, functional PBE.

## Properties
The polymorph energy (0 for the lowest one) comes out at 103.5 meV/atom. The calculation puts the formation energy at 312.5 kJ/mol of formula units.

a = 4.5615 Å, b = 4.5615 Å, c = 23.9345 Å
α = 90.00°, β = 90.00°, γ = 120.00°
Space group R-3m (No. 166, hexagonal axes)
Symmetry-distinct sites (fractional):
1 Co 0.0000 0.0000 0.1666 x6
2 Ni 0.0000 0.0000 0.0000 x3
3 Ni 0.0000 0.0000 0.3482 x6
4 Ni 0.0000 0.0000 0.4527 x6
5 Ni 0.0031 0.5016 0.4130 x18

# 4
A relaxed structure of Tc2Ag2O5. Source: OQMD, functional PBE.

## Properties
The polymorph energy (0 for the lowest one) comes out at 0.0 meV/atom.

a = 3.849 Å, b = 3.849 Å, c = 7.517 Å
α = 90.00°, β = 90.00°, γ = 90.00°
Space group P4/mmm (No. 123)
Symmetry-distinct sites (fractional):
1 Tc 0.000 0.000 0.231 x2
2 Ag 0.500 0.500 0.000 x1
3 Ag 0.500 0.500 0.500 x1
4 O 0.000 0.000 0.500 x1
5 O 0.000 0.500 0.223 x4

# 5
A relaxed structure of Ba3Cd2Bi2As2. Source: OQMD, functional PBE.

## Properties
Its raw total energy is -0.12934 hartree per atom.

a = 18.229 Å, b = 4.866 Å, c = 7.483 Å
α = 90.00°, β = 113.15°, γ = 90.00°
Space group C2/m (No. 12)
Symmetry-distinct sites (fractional):
1 Ba 0.000 0.000 0.000 x2
2 Ba 0.128 0.000 0.594 x4
3 Cd 0.164 0.500 0.969 x4
4 Bi 0.210 0.000 0.218 x4
5 As 0.005 0.500 0.675 x4

# 6
A relaxed structure of NdSnTe3Au. Source: OQMD, functional PBE.

## Properties
The polymorph energy (0 for the lowest one) comes out at 0.0 meV/atom.

a = 11.358 Å, b = 4.326 Å, c = 14.840 Å
α = 90.00°, β = 90.00°, γ = 90.00°
Space group Pnma (No. 62)
Symmetry-distinct sites (fractional):
1 Nd 0.013 0.250 0.245 x4
2 Sn 0.230 0.750 0.526 x4
3 Te 0.048 0.250 0.602 x4
4 Te 0.075 0.750 0.095 x4
5 Te 0.240 0.750 0.847 x4
6 Au 0.244 0.250 0.722 x4

# 7
A relaxed structure of MgCo4Ge6. Source: OQMD, functional PBE.

## Properties
Its raw total energy is -0.20226 hartree per atom.

a = 6.154 Å, b = 6.154 Å, c = 8.694 Å
α = 90.00°, β = 90.00°, γ = 90.00°
Space group I-42m (No. 121)
Symmetry-distinct sites (fractional):
1 Mg 0.000 0.000 0.000 x2
2 Co 0.181 0.181 0.578 x8
3 Ge 0.000 0.500 0.000 x4
4 Ge 0.167 0.167 0.294 x8

# 8
A relaxed structure of TmNpGe. Source: OQMD, functional PBE.

## Properties
Its raw total energy is -0.26766 hartree per atom.

a = 6.764 Å, b = 6.764 Å, c = 6.764 Å
α = 90.00°, β = 90.00°, γ = 90.00°
Space group F-43m (No. 216)
Symmetry-distinct sites (fractional):
1 Tm 0.000 0.000 0.000 x4
2 Np 0.000 0.000 0.500 x4
3 Ge 0.250 0.250 0.750 x4